DFT (PBE-GGA) results for an optimized crystal structure of LiSm2Pb3Se6.

Results
Crystal system: monoclinic
E_form (uncorrected), eV/atom: -1.080

Lattice parameters (Å, degrees): 18.7816 4.3325 8.5328 90.00 104.62 90.00
Last column: nearest neighbours and their distance in Å.
Space group C2/m (No. 12)
Symmetry-distinct sites (fractional):
Li 0.0000 0.0000 0.0000 x2  6 Se 2.95-3.01
Sm 0.1635 0.5000 0.3285 x4  6 Se 2.87-3.00
Pb 0.0000 0.0000 0.5000 x2  6 Se 3.12-3.13
Pb 0.1603 0.5000 0.8470 x4  6 Se 3.00-3.23
Se 0.0053 0.5000 0.2376 x4  1 Sm 2.87, 2 Li 2.95, 3 Pb 3.01-3.13
Se 0.1655 0.0000 0.0927 x4  2 Sm 2.96, 3 Pb 3.00-3.18, 1 Li 3.01
Se 0.1716 0.0000 0.5730 x4  3 Sm 2.98-3.00, 3 Pb 3.12-3.23